This record from the Alexandria database describes a geometry-optimized Ti2MnO5 structure. The functional is PBE with a Hubbard U.

Cell: 3.7484 5.3470 10.3749 Å, 90.00 90.00 110.52°
Closest atoms and distances in Å follow each position.
Positions (direct):
Ti1 0.8688 0.7376 0.0670  5 O 1.82-2.03
O1 0.7979 0.5958 0.2500  2 Ti 2.03, 2 Mn 2.15
O2 0.9547 0.9093 0.8906  2 Ti 1.82-2.02
O3 0.2021 0.4042 0.7500  2 Ti 2.03, 2 Mn 2.15
Ti2 0.8688 0.7376 0.4330  5 O 1.82-2.03
Ti3 0.1312 0.2624 0.5670  5 O 1.82-2.03
O4 0.3143 0.6286 0.0579  2 Ti 1.95
Mn1 0.8081 0.6162 0.7500  4 O 2.07-2.15
O5 0.0453 0.0907 0.3906  2 Ti 1.82-2.02
O6 0.6857 0.3714 0.9421  2 Ti 1.95
O7 0.6857 0.3714 0.5579  2 Ti 1.95
O8 0.0453 0.0907 0.1094  2 Ti 1.82-2.02
Ti4 0.1312 0.2624 0.9330  5 O 1.82-2.03
O9 0.9547 0.9093 0.6094  2 Ti 1.82-2.02
O10 0.3143 0.6286 0.4421  2 Ti 1.95
Mn2 0.1919 0.3838 0.2500  4 O 2.07-2.15

## Properties
* SG: Cmcm, No. 63
* DFT total energy: -69.8 eV/f.u.
* ρ: 3.934 g cm⁻³
* total moment: 5.0 μB/f.u.